1.
First-principles (GGA-PBE) data for NbV2Rh2 after structural relaxation, as listed in the Alexandria database.

Results
E, eV per cell: -42.6
DOS at the Fermi energy, states/eV/f.u.: 3.8
Symmetry: I4/mmm (139)
DFT formation energy, eV per atom: 0.072

Lattice parameters (Å, degrees): 3.858 3.858 5.984 71.19 71.19 90.00
Element x y z (fractional)
Rh: 0.250 0.750 0.500
V: 0.607 0.607 0.786
Rh: 0.750 0.250 0.500
V: 0.393 0.393 0.214
Nb: 0.000 0.000 0.000

---

2.
First-principles (GGA-PBE) data for Nb2V2Rh after structural relaxation, as listed in the Alexandria database.

Results
E, eV per cell: -45.6
DOS at the Fermi energy, states/eV/f.u.: 6.3
Symmetry: Cmmm (65)
DFT formation energy, eV per atom: 0.031

Lattice parameters (Å, degrees): 2.756 3.936 7.542 74.87 90.00 90.00
Element x y z (fractional)
Rh: 0.000 0.000 0.000
V: 0.000 0.792 0.417
V: 0.000 0.208 0.583
Nb: 0.500 0.396 0.208
Nb: 0.500 0.604 0.792

---

3.
First-principles (GGA-PBE) data for Nb6VRh after structural relaxation, as listed in the Alexandria database.

Results
E, eV per cell: -77.9
DOS at the Fermi energy, states/eV/f.u.: 10.2
Symmetry: P2/m (10)
DFT formation energy, eV per atom: -0.122

Lattice parameters (Å, degrees): 7.335 7.337 5.185 44.98 45.02 59.99
Element x y z (fractional)
Nb: 0.500 0.250 0.250
Nb: 0.500 0.750 0.750
V: 0.000 0.000 0.000
Nb: 0.000 0.500 0.251
Nb: 0.250 0.000 0.250
Nb: 0.750 0.000 0.750
Nb: 0.000 0.500 0.749
Rh: 0.500 0.500 0.500

---

4.
First-principles (GGA-PBE) data for Nb2VZn2Rh5 after structural relaxation, as listed in the Alexandria database.

Results
E, eV per cell: -141.7
DOS at the Fermi energy, states/eV/f.u.: 7.8
Symmetry: P4/mbm (127)
DFT formation energy, eV per atom: -0.227

Lattice parameters (Å, degrees): 2.924 10.249 10.249 90.00 90.00 90.00
Element x y z (fractional)
Rh: 0.500 0.515 0.700
Rh: 0.500 0.700 0.485
Zn: 0.000 0.356 0.144
Rh: 0.500 0.800 0.985
Zn: 0.000 0.856 0.356
Rh: 0.500 0.985 0.200
Rh: 0.500 0.200 0.015
Rh: 0.500 0.485 0.300
Rh: 0.500 0.300 0.515
Zn: 0.000 0.144 0.644
Rh: 0.500 0.015 0.800
V: 0.000 0.500 0.500
Nb: 0.000 0.668 0.168
Zn: 0.000 0.644 0.856
Rh: 0.500 0.000 0.500
Nb: 0.000 0.168 0.332
V: 0.000 0.000 0.000
Nb: 0.000 0.832 0.668
Rh: 0.500 0.500 0.000
Nb: 0.000 0.332 0.832

---

5.
First-principles (GGA-PBE) data for Nb6RhW after structural relaxation, as listed in the Alexandria database.

Results
E, eV per cell: -81.8
DOS at the Fermi energy, states/eV/f.u.: 6.1
Symmetry: I4/mmm (139)
DFT formation energy, eV per atom: -0.139

Lattice parameters (Å, degrees): 4.616 4.616 7.329 71.65 71.65 90.00
Element x y z (fractional)
Nb: 0.377 0.877 0.246
Nb: 0.877 0.377 0.246
Rh: 0.000 0.000 0.000
Nb: 0.252 0.252 0.495
Nb: 0.748 0.748 0.505
Nb: 0.623 0.123 0.754
Nb: 0.123 0.623 0.754
W: 0.500 0.500 0.000

---

6.
First-principles (GGA-PBE) data for Nb2Rh2W after structural relaxation, as listed in the Alexandria database.

Results
E, eV per cell: -96.1
DOS at the Fermi energy, states/eV/f.u.: 3.8
Symmetry: P4/mbm (127)
DFT formation energy, eV per atom: -0.054

Lattice parameters (Å, degrees): 7.513 7.513 2.937 90.00 90.00 90.00
Element x y z (fractional)
W: 0.000 0.000 0.000
Nb: 0.329 0.171 0.500
Nb: 0.829 0.329 0.500
Nb: 0.671 0.829 0.500
Rh: 0.871 0.629 0.000
Rh: 0.629 0.129 0.000
Rh: 0.129 0.371 0.000
Nb: 0.171 0.671 0.500
Rh: 0.371 0.871 0.000
W: 0.500 0.500 0.000

---

7.
First-principles (GGA-PBE) data for Nb2Rh7W after structural relaxation, as listed in the Alexandria database.

Results
E, eV per cell: -81.7
DOS at the Fermi energy, states/eV/f.u.: 12.7
Symmetry: Cmmm (65)
DFT formation energy, eV per atom: 0.285

Lattice parameters (Å, degrees): 2.782 8.591 8.592 122.85 90.00 90.00
Element x y z (fractional)
Rh: 0.500 0.315 0.129
W: 0.000 0.000 0.000
Nb: 0.500 0.328 0.672
Rh: 0.500 0.500 0.500
Rh: 0.000 0.182 0.818
Rh: 0.500 0.871 0.685
Rh: 0.500 0.129 0.315
Rh: 0.000 0.818 0.182
Nb: 0.500 0.672 0.328
Rh: 0.500 0.685 0.871

---

8.
First-principles (GGA-PBE) data for Nb4RhW after structural relaxation, as listed in the Alexandria database.

Results
E, eV per cell: -123.3
DOS at the Fermi energy, states/eV/f.u.: 4.9
Symmetry: P2/m (10)
DFT formation energy, eV per atom: -0.181

Lattice parameters (Å, degrees): 3.266 7.260 9.156 108.05 90.00 90.00
Element x y z (fractional)
Nb: 0.500 0.662 0.914
Nb: 0.500 0.664 0.418
W: 0.000 0.338 0.332
W: 0.000 0.662 0.668
Nb: 0.000 0.000 0.500
Rh: 0.000 0.331 0.833
Nb: 0.500 0.336 0.582
Rh: 0.000 0.669 0.167
Nb: 0.000 0.000 0.000
Nb: 0.500 0.995 0.750
Nb: 0.500 0.338 0.086
Nb: 0.500 0.005 0.250

---

9.
First-principles (GGA-PBE) data for NbRh4W2 after structural relaxation, as listed in the Alexandria database.

Results
E, eV per cell: -57.7
DOS at the Fermi energy, states/eV/f.u.: 4.4
Symmetry: I4/mmm (139)
DFT formation energy, eV per atom: 1.104

Lattice parameters (Å, degrees): 4.846 4.846 6.978 69.68 69.68 90.00
Element x y z (fractional)
W: 0.597 0.597 0.806
Nb: 0.000 0.000 0.000
Rh: 0.000 0.500 0.000
W: 0.403 0.403 0.194
Rh: 0.800 0.800 0.399
Rh: 0.200 0.200 0.601
Rh: 0.500 0.000 0.000

---

10.
First-principles (GGA-PBE) data for Nb3RhW after structural relaxation, as listed in the Alexandria database.

Results
E, eV per cell: -43.0
DOS at the Fermi energy, states/eV/f.u.: 8.0
Symmetry: Pm-3m (221)
DFT formation energy, eV per atom: 1.498

Lattice parameters (Å, degrees): 4.803 4.803 4.803 90.00 90.00 90.00
Element x y z (fractional)
W: 0.000 0.000 0.000
Nb: 0.000 0.500 0.000
Rh: 0.500 0.500 0.500
Nb: 0.500 0.000 0.000
Nb: 0.000 0.000 0.500

---

11.
First-principles (GGA-PBE) data for NbRh2W2 after structural relaxation, as listed in the Alexandria database.

Results
E, eV per cell: -100.8
DOS at the Fermi energy, states/eV/f.u.: 5.8
Symmetry: P4/mbm (127)
DFT formation energy, eV per atom: 0.051

Lattice parameters (Å, degrees): 7.658 7.658 2.776 90.00 90.00 90.00
Element x y z (fractional)
Nb: 0.000 0.000 0.000
W: 0.878 0.622 0.000
Rh: 0.174 0.674 0.500
Rh: 0.826 0.326 0.500
Rh: 0.674 0.826 0.500
W: 0.622 0.122 0.000
Nb: 0.500 0.500 0.000
W: 0.378 0.878 0.000
Rh: 0.326 0.174 0.500
W: 0.122 0.378 0.000

---

12.
First-principles (GGA-PBE) data for NbRhW2 after structural relaxation, as listed in the Alexandria database.

Results
E, eV per cell: -42.6
DOS at the Fermi energy, states/eV/f.u.: 7.5
Symmetry: Fm-3m (225)
DFT formation energy, eV per atom: 0.178

Lattice parameters (Å, degrees): 4.508 4.508 4.508 60.00 60.00 60.00
Element x y z (fractional)
W: 0.750 0.750 0.750
Rh: 0.500 0.500 0.500
Nb: 0.000 0.000 0.000
W: 0.250 0.250 0.250

---

13.
First-principles (GGA-PBE) data for NbRhW3 after structural relaxation, as listed in the Alexandria database.

Results
E, eV per cell: -44.6
DOS at the Fermi energy, states/eV/f.u.: 5.8
Symmetry: Pm-3m (221)
DFT formation energy, eV per atom: 2.343

Lattice parameters (Å, degrees): 4.703 4.703 4.703 90.00 90.00 90.00
Element x y z (fractional)
W: 0.000 0.500 0.000
W: 0.500 0.000 0.000
Rh: 0.500 0.500 0.500
Nb: 0.000 0.000 0.000
W: 0.000 0.000 0.500

---

14.
First-principles (GGA-PBE) data for Nb3RhW after structural relaxation, as listed in the Alexandria database.

Results
E, eV per cell: -43.4
DOS at the Fermi energy, states/eV/f.u.: 7.4
Symmetry: Pm-3m (221)
DFT formation energy, eV per atom: 1.418

Lattice parameters (Å, degrees): 4.743 4.743 4.743 90.00 90.00 90.00
Element x y z (fractional)
W: 0.500 0.500 0.500
Nb: 0.000 0.500 0.000
Nb: 0.500 0.000 0.000
Nb: 0.000 0.000 0.500
Rh: 0.000 0.000 0.000

---

15.
First-principles (GGA-PBE) data for Nb6RhW after structural relaxation, as listed in the Alexandria database.

Results
E, eV per cell: -81.8
DOS at the Fermi energy, states/eV/f.u.: 8.1
Symmetry: Pm-3 (200)
DFT formation energy, eV per atom: -0.130

Lattice parameters (Å, degrees): 7.372 7.374 5.211 44.98 45.01 59.99
Element x y z (fractional)
W: 0.000 0.000 0.000
Nb: 0.500 0.750 0.751
Nb: 0.000 0.500 0.251
Nb: 0.500 0.250 0.249
Nb: 0.750 0.000 0.749
Nb: 0.000 0.500 0.749
Nb: 0.250 0.000 0.251
Rh: 0.500 0.500 0.500

---

16.
First-principles (GGA-PBE) data for NbRh6W2 after structural relaxation, as listed in the Alexandria database.

Results
E, eV per cell: -80.4
DOS at the Fermi energy, states/eV/f.u.: 9.5
Symmetry: Immm (71)
DFT formation energy, eV per atom: -0.035

Lattice parameters (Å, degrees): 2.761 13.392 7.807 149.05 100.18 90.00
Element x y z (fractional)
Rh: 0.500 0.147 0.000
Rh: 0.679 0.848 0.359
Rh: 0.500 0.853 0.000
Rh: 0.321 0.490 0.641
Nb: 0.000 0.500 0.000
W: 0.828 0.828 0.655
Rh: 0.321 0.152 0.641
W: 0.172 0.172 0.345
Rh: 0.679 0.510 0.359

---

17.
First-principles (GGA-PBE) data for Nb4RhW3 after structural relaxation, as listed in the Alexandria database.

Results
E, eV per cell: -87.5
DOS at the Fermi energy, states/eV/f.u.: 5.3
Symmetry: Pmmm (47)
DFT formation energy, eV per atom: -0.126

Lattice parameters (Å, degrees): 3.244 4.592 9.102 90.00 90.00 90.00
Element x y z (fractional)
W: 0.500 0.000 0.754
Nb: 0.000 0.500 0.750
W: 0.500 0.500 0.500
Rh: 0.500 0.500 0.000
W: 0.500 0.000 0.246
Nb: 0.000 0.500 0.250
Nb: 0.000 0.000 0.500
Nb: 0.000 0.000 0.000

---

18.
First-principles (GGA-PBE) data for Nb4RhW after structural relaxation, as listed in the Alexandria database.

Results
E, eV per cell: -58.1
DOS at the Fermi energy, states/eV/f.u.: 5.0
Symmetry: C2/m (12)
DFT formation energy, eV per atom: 0.420

Lattice parameters (Å, degrees): 4.374 4.375 6.345 89.93 89.96 90.00
Element x y z (fractional)
Rh: 0.001 0.997 0.498
W: 0.501 0.497 0.998
Nb: 0.001 0.497 0.248
Nb: 0.501 0.997 0.248
Nb: 0.501 0.998 0.749
Nb: 0.001 0.497 0.749

---

19.
First-principles (GGA-PBE) data for NbRhW2 after structural relaxation, as listed in the Alexandria database.

Results
E, eV per cell: -81.3
DOS at the Fermi energy, states/eV/f.u.: 3.0
Symmetry: I-42d (122)
DFT formation energy, eV per atom: 0.667

Lattice parameters (Å, degrees): 7.324 7.324 5.806 50.90 50.90 90.00
Element x y z (fractional)
Rh: 0.000 0.000 0.000
Rh: 0.750 0.250 0.500
W: 0.375 0.356 0.750
W: 0.875 0.894 0.750
W: 0.106 0.625 0.250
W: 0.644 0.125 0.250
Nb: 0.500 0.500 0.000
Nb: 0.250 0.750 0.500

---

20.
First-principles (GGA-PBE) data for NbRh2W2 after structural relaxation, as listed in the Alexandria database.

Results
E, eV per cell: -101.4
DOS at the Fermi energy, states/eV/f.u.: 4.5
Symmetry: P4/mbm (127)
DFT formation energy, eV per atom: -0.001

Lattice parameters (Å, degrees): 7.656 7.656 2.765 90.00 90.00 90.00
Element x y z (fractional)
Nb: 0.500 0.500 0.000
Rh: 0.375 0.875 0.000
W: 0.171 0.671 0.500
Rh: 0.875 0.625 0.000
Nb: 0.000 0.000 0.000
W: 0.671 0.829 0.500
Rh: 0.125 0.375 0.000
Rh: 0.625 0.125 0.000
W: 0.829 0.329 0.500
W: 0.329 0.171 0.500

---

| no. | volume (Å³/f.u.) |
| --- | --- |
| 1 | 79 |
| 2 | 79 |
| 3 | 140 |
| 4 | 154 |
| 5 | 140 |
| 6 | 83 |
| 7 | 172 |
| 8 | 103 |
| 9 | 143 |
| 10 | 111 |
| 11 | 81 |
| 12 | 65 |
| 13 | 104 |
| 14 | 107 |
| 15 | 142 |
| 16 | 139 |
| 17 | 136 |
| 18 | 121 |
| 19 | 70 |
| 20 | 81 |